LaCoHg: optimized geometry, GGA-PBE.

The structure in CIF format:
```
data_LaCoHg
_cell_length_a 6.605
_cell_length_b 6.605
_cell_length_c 6.605
_cell_angle_alpha 90.00
_cell_angle_beta 90.00
_cell_angle_gamma 90.00
_space_group_name_H-M_alt 'F -4 3 m'
_space_group_IT_number 216
_space_group_name_Hall 'F -4 2 3'
loop_
_atom_site_label
_atom_site_type_symbol
_atom_site_fract_x
_atom_site_fract_y
_atom_site_fract_z
_atom_site_occupancy
La1 La 0.000 0.000 0.000 1
Co1 Co 0.250 0.250 0.750 1
Hg1 Hg 0.000 0.000 0.500 1
```

- Calculated volume: 24.0 A^3/atom
- Formation enthalpy at 0 K: -0.06 eV per atom